# Tl2AgCl

Crystalline Tl2AgCl at its relaxed geometry (GGA-PBE, Alexandria via LeMat-Bulk).

Calculated values
E, eV/cell: -10.18
Size of the total moment, μB/f.u.: 0.00
Formation energy (no corrections), eV/atom: -0.186
Density, Mg/m³: 8.45
E above lowest polymorph, meV/atom: 159
Calculated volume, Å³ per atom: 27.11

Structure (POSCAR):
```
Tl2AgCl
1.0
1.875 1.083 8.901
-1.875 1.083 8.901
0.000 -2.166 8.901
Tl Ag Cl
2 1 1
Cartesian
0.000 0.000 0.000
0.000 0.000 6.171
0.000 0.000 19.854
0.000 0.000 12.657
```